Record 1
Computed, not measured: a relaxed structure of ZnCoW at the PBE-GGA level of DFT.

Output
volume = 87 Å³ per cell
total energy = -6.75 eV/atom
ΔE_f = 0.3612 eV/atom

Cell lengths 5.1105, 4.2067, 5.7085 Å; angles 74.22, 63.41, 52.60 degrees
Fractional positions:
Co  0.3829  0.0000  0.2342
Zn  0.1767  0.6466  0.0000
W  0.2500  0.5000  0.5000
Zn  0.8233  0.3534  0.0000
W  0.7500  0.5000  0.5000
Co  0.6171  0.0000  0.7658


Record 2
Computed, not measured: a relaxed structure of Eu3Hg5I12 at the PBE-GGA level of DFT.

Output
formation energy without anion corrections = -0.69 eV/atom
volume = 3490 Å³ per cell
total energy = -3.24 eV/atom

Cell lengths 16.5511, 16.5511, 16.5511 Å; angles 109.47, 109.47, 109.47 degrees
Fractional positions:
Eu  0.1250  0.2500  0.8750
Hg  0.2500  0.3750  0.6250
I  0.0439  0.6349  0.7269
I  0.7269  0.5920  0.1829
Hg  0.6250  0.7500  0.8750
I  0.4080  0.2731  0.3171
I  0.7731  0.3171  0.9080
Hg  0.5000  0.5000  0.0000
Hg  0.0000  0.5000  0.0000
I  0.3171  0.5439  0.4090
Eu  0.8750  0.1250  0.2500
Hg  0.3750  0.1250  0.7500
I  0.4561  0.7731  0.8651
Eu  0.6250  0.2500  0.3750
I  0.0920  0.1829  0.2269
I  0.6829  0.2269  0.5920
I  0.2269  0.6829  0.0920
Hg  0.8750  0.2500  0.6250
Eu  0.1250  0.8750  0.7500
I  0.1349  0.7269  0.5439
Eu  0.7500  0.3750  0.1250
Hg  0.0000  0.0000  0.5000
I  0.5920  0.8651  0.4090
I  0.2731  0.8651  0.9561
I  0.7731  0.4561  0.3651
Eu  0.3750  0.6250  0.2500
Eu  0.7500  0.8750  0.6250
I  0.9561  0.3651  0.2731
Hg  0.7500  0.6250  0.3750
I  0.0920  0.9090  0.3651
I  0.8651  0.5920  0.9090
I  0.7269  0.1349  0.0439
Hg  0.5000  0.0000  0.5000
I  0.4561  0.6829  0.0910
I  0.8171  0.9080  0.2731
I  0.6349  0.5910  0.9080
I  0.3171  0.7731  0.4080
I  0.1829  0.0910  0.9561
Hg  0.7500  0.1250  0.8750
Hg  0.5000  0.0000  0.0000
I  0.9561  0.5910  0.1829
Eu  0.2500  0.1250  0.3750
I  0.5910  0.9561  0.6829
I  0.3651  0.9561  0.7731
Hg  0.0000  0.0000  0.0000
I  0.9080  0.0910  0.6349
I  0.4090  0.3651  0.5920
I  0.4080  0.1349  0.5910
Hg  0.2500  0.8750  0.1250
I  0.5439  0.2269  0.1349
I  0.3651  0.4090  0.0920
Eu  0.2500  0.6250  0.8750
I  0.8171  0.9090  0.0439
Eu  0.3750  0.7500  0.6250
I  0.5439  0.3171  0.9090
I  0.1349  0.4080  0.0910
I  0.6829  0.4561  0.5910
I  0.1829  0.0920  0.7269
Hg  0.0000  0.5000  0.5000
Hg  0.8750  0.6250  0.7500
Hg  0.6250  0.8750  0.2500
Eu  0.8750  0.7500  0.1250
I  0.0910  0.1829  0.4561
I  0.5910  0.6349  0.4080
I  0.2731  0.4080  0.8171
Hg  0.1250  0.7500  0.3750
Hg  0.5000  0.5000  0.5000
I  0.4090  0.0439  0.3171
I  0.9090  0.8171  0.5439
Hg  0.1250  0.3750  0.2500
I  0.9090  0.0920  0.8651
I  0.0910  0.9080  0.1349
Hg  0.3750  0.2500  0.1250
I  0.9080  0.8171  0.7731
Eu  0.6250  0.3750  0.7500
I  0.0439  0.4090  0.8171
I  0.6349  0.0439  0.2269
I  0.5920  0.7269  0.6829
I  0.8651  0.2731  0.4561
I  0.2269  0.5439  0.6349


Record 3
Computed, not measured: a relaxed structure of ErGa12Co6 at the PBE-GGA level of DFT.

Output
volume = 289 Å³ per cell
total energy = -4.61 eV/atom
ΔE_f = -0.2108 eV/atom

Cell lengths 6.9099, 6.9099, 6.9099 Å; angles 104.98, 104.98, 104.98 degrees
Fractional positions:
Ga  0.8536  0.5888  0.5888
Co  0.2742  0.6963  0.2742
Ga  0.5000  0.8833  0.1167
Ga  0.4112  0.1464  0.4112
Er  0.0000  0.0000  0.0000
Co  0.6963  0.2742  0.2742
Ga  0.5000  0.1167  0.8833
Co  0.2742  0.2742  0.6963
Ga  0.5888  0.5888  0.8536
Ga  0.1167  0.8833  0.5000
Co  0.3037  0.7258  0.7258
Ga  0.1167  0.5000  0.8833
Ga  0.5888  0.8536  0.5888
Ga  0.8833  0.1167  0.5000
Ga  0.4112  0.4112  0.1464
Co  0.7258  0.3037  0.7258
Ga  0.1464  0.4112  0.4112
Ga  0.8833  0.5000  0.1167
Co  0.7258  0.7258  0.3037


Record 4
Computed, not measured: a relaxed structure of CrAs2Pb at the PBE-GGA level of DFT.

Output
volume = 96 Å³ per cell
total energy = -5.52 eV/atom
ΔE_f = 0.1404 eV/atom

Cell lengths 3.8645, 4.4986, 5.9393 Å; angles 67.67, 90.00, 90.00 degrees
Fractional positions:
Pb  0.5000  0.6726  0.7794
As  0.0000  0.0143  0.0965
As  0.5000  0.3408  0.4437
Cr  0.0000  0.4723  0.1804


Question: What is the formula in the third record?
Answer: ErGa12Co6


Copy entry 4 word for word.
Computed, not measured: a relaxed structure of CrAs2Pb at the PBE-GGA level of DFT.

Output
volume = 96 Å³ per cell
total energy = -5.52 eV/atom
ΔE_f = 0.1404 eV/atom

Cell lengths 3.8645, 4.4986, 5.9393 Å; angles 67.67, 90.00, 90.00 degrees
Fractional positions:
Pb  0.5000  0.6726  0.7794
As  0.0000  0.0143  0.0965
As  0.5000  0.3408  0.4437
Cr  0.0000  0.4723  0.1804


Question: What is the formula in the first record?
Answer: ZnCoW